Crystalline Ba2AlZn4Ag3 at its relaxed geometry. Source: the Alexandria database, functional PBE.

Properties
The energy is -0.0851 Ha/atom. As for the formation energy: -0.191 eV per atom. As for the space group: P-4m2, No. 115.

a b c (Å): 4.5806 4.5806 11.3356
angles (deg): 90.00 90.00 90.00
Atoms (fractional coordinates):
Ba 0.5000 0.0000 0.2506
Ba 0.0000 0.5000 0.7494
Al 0.5000 0.5000 0.5000
Zn 0.5000 0.5000 0.0000
Zn 0.0000 0.0000 0.0000
Zn 0.5000 0.0000 0.6249
Zn 0.0000 0.5000 0.3751
Ag 0.0000 0.0000 0.5000
Ag 0.5000 0.0000 0.8706
Ag 0.0000 0.5000 0.1294